Y2ZnGaNi6: optimized geometry, PBE-GGA.

Structure (CIF):
```
data_Y2ZnGaNi6
_chemical_formula_sum 'Y2 Zn1 Ga1 Ni6'
_space_group_name_H-M_alt 'P 1'
_space_group_IT_number 1
_cell_length_a 6.2283
_cell_length_b 6.2283
_cell_length_c 6.2283
_cell_angle_alpha 60.00
_cell_angle_beta 60.00
_cell_angle_gamma 90.00
loop_
_space_group_symop_operation_xyz
'x,y,z'
loop_
_atom_site_label
_atom_site_fract_x
_atom_site_fract_y
_atom_site_fract_z
_atom_site_occupancy
Y1 0.2500 0.7500 0.5000 1
Y2 0.7500 0.2500 0.5000 1
Zn1 0.5000 0.5000 0.0000 1
Ga1 0.0000 0.0000 0.0000 1
Ni1 0.2495 0.7505 0.0000 1
Ni2 0.7505 0.7505 0.0000 1
Ni3 0.2495 0.2495 0.5010 1
Ni4 0.7505 0.2495 0.0000 1
Ni5 0.2495 0.2495 0.0000 1
Ni6 0.7505 0.7505 0.4990 1
```

Energy of formation from the pure elements   0.0840 eV per atom
Density of states at the Fermi level   0.91 states/eV per atom
Final energy   -5.1077 eV/atom
Space group   No. 225

***

IrRhAu2I: optimized geometry, PBE-GGA.

Structure (CIF):
```
data_IrRhAu2I
_chemical_formula_sum 'Ir1 Rh1 Au2 I1'
_space_group_name_H-M_alt 'P 1'
_space_group_IT_number 1
_cell_length_a 5.1112
_cell_length_b 4.6745
_cell_length_c 5.1112
_cell_angle_alpha 90.00
_cell_angle_beta 90.00
_cell_angle_gamma 90.00
loop_
_space_group_symop_operation_xyz
'x,y,z'
loop_
_atom_site_label
_atom_site_fract_x
_atom_site_fract_y
_atom_site_fract_z
_atom_site_occupancy
I1 0.5000 0.5000 0.5000 1
Rh1 0.0000 0.0000 0.0000 1
Ir1 0.0000 0.5000 0.0000 1
Au1 0.0000 0.0000 0.5000 1
Au2 0.5000 0.0000 0.0000 1
```

Density of states at the Fermi level   1.39 states/eV per atom
Raw formation energy   1.19 eV per atom
Final energy   -3.6694 eV/atom
Space group   No. 123

***

Tb2CuRh2: optimized geometry, PBE-GGA.

Structure (CIF):
```
data_Tb2CuRh2
_chemical_formula_sum 'Tb2 Cu1 Rh2'
_space_group_name_H-M_alt 'P 1'
_space_group_IT_number 1
_cell_length_a 4.1625
_cell_length_b 5.4202
_cell_length_c 5.4199
_cell_angle_alpha 65.26
_cell_angle_beta 67.42
_cell_angle_gamma 67.42
loop_
_space_group_symop_operation_xyz
'x,y,z'
loop_
_atom_site_label
_atom_site_fract_x
_atom_site_fract_y
_atom_site_fract_z
_atom_site_occupancy
Tb1 0.2950 0.2050 0.7050 1
Tb2 0.7050 0.7950 0.2950 1
Cu1 0.5000 0.5000 0.0000 1
Rh1 0.0000 0.2347 0.2653 1
Rh2 0.0000 0.7653 0.7347 1
```

Energy above the lowest structure with this stoichiometry   0 meV per atom
Energy of formation from the pure elements   -0.6747 eV per atom
Density of states at the Fermi level   0.55 states/eV per atom
Final energy   -6.2866 eV/atom
Space group   No. 71

***

LiTm5Al3: optimized geometry, PBE-GGA.

Structure (CIF):
```
data_LiTm5Al3
_chemical_formula_sum 'Li2 Tm10 Al6'
_space_group_name_H-M_alt 'P 1'
_space_group_IT_number 1
_cell_length_a 6.4289
_cell_length_b 8.8865
_cell_length_c 8.8865
_cell_angle_alpha 120.00
_cell_angle_beta 90.00
_cell_angle_gamma 90.00
loop_
_space_group_symop_operation_xyz
'x,y,z'
loop_
_atom_site_label
_atom_site_fract_x
_atom_site_fract_y
_atom_site_fract_z
_atom_site_occupancy
Li1 0.0000 0.0000 0.0000 1
Li2 0.5000 0.0000 0.0000 1
Tm1 0.0000 0.6667 0.3333 1
Tm2 0.5000 0.3333 0.6667 1
Tm3 0.0000 0.3333 0.6667 1
Tm4 0.5000 0.6667 0.3333 1
Tm5 0.7500 0.6949 0.6949 1
Tm6 0.7500 0.0000 0.3051 1
Tm7 0.7500 0.3051 0.0000 1
Tm8 0.2500 0.3051 0.3051 1
Tm9 0.2500 0.0000 0.6949 1
Tm10 0.2500 0.6949 0.0000 1
Al1 0.7500 0.3564 0.3563 1
Al2 0.7500 0.0000 0.6437 1
Al3 0.7500 0.6436 0.0000 1
Al4 0.2500 0.6436 0.6437 1
Al5 0.2500 0.0000 0.3563 1
Al6 0.2500 0.3564 0.0000 1
```

Energy of formation from the pure elements   -0.2524 eV per atom
Density of states at the Fermi level   0.59 states/eV per atom
Final energy   -4.1967 eV/atom
Space group   No. 193

***

RbPb7: optimized geometry, PBE-GGA.

Structure (CIF):
```
data_RbPb7
_chemical_formula_sum 'Rb1 Pb7'
_space_group_name_H-M_alt 'P 1'
_space_group_IT_number 1
_cell_length_a 4.6637
_cell_length_b 8.3926
_cell_length_c 8.3926
_cell_angle_alpha 73.32
_cell_angle_beta 73.41
_cell_angle_gamma 73.41
loop_
_space_group_symop_operation_xyz
'x,y,z'
loop_
_atom_site_label
_atom_site_fract_x
_atom_site_fract_y
_atom_site_fract_z
_atom_site_occupancy
Rb1 0.0000 0.0000 0.0000 1
Pb1 0.7320 0.7648 0.7648 1
Pb2 0.2680 0.2352 0.2352 1
Pb3 0.0000 0.5000 0.5000 1
Pb4 0.6458 0.5371 0.1739 1
Pb5 0.3542 0.4629 0.8261 1
Pb6 0.3542 0.8261 0.4629 1
Pb7 0.6458 0.1739 0.5371 1
```

Energy of formation from the pure elements   -0.0250 eV per atom
Density of states at the Fermi level   0.41 states/eV per atom
Final energy   -3.3907 eV/atom
Space group   No. 12

***

LaMg2Os: optimized geometry, PBE-GGA.

Structure (CIF):
```
data_LaMg2Os
_chemical_formula_sum 'La1 Mg2 Os1'
_space_group_name_H-M_alt 'P 1'
_space_group_IT_number 1
_cell_length_a 3.2289
_cell_length_b 3.2289
_cell_length_c 8.3575
_cell_angle_alpha 90.00
_cell_angle_beta 90.00
_cell_angle_gamma 90.00
loop_
_space_group_symop_operation_xyz
'x,y,z'
loop_
_atom_site_label
_atom_site_fract_x
_atom_site_fract_y
_atom_site_fract_z
_atom_site_occupancy
La1 0.5000 0.5000 0.7500 1
Mg1 0.0000 0.0000 0.0707 1
Mg2 0.0000 0.0000 0.4293 1
Os1 0.5000 0.5000 0.2500 1
```

Energy of formation from the pure elements   0.2466 eV per atom
Density of states at the Fermi level   1.06 states/eV per atom
Final energy   -4.5900 eV/atom
Space group   No. 123

***

Mg2Pt2Au: optimized geometry, PBE-GGA.

Structure (CIF):
```
data_Mg2Pt2Au
_chemical_formula_sum 'Mg4 Pt4 Au2'
_space_group_name_H-M_alt 'P 1'
_space_group_IT_number 1
_cell_length_a 7.5576
_cell_length_b 7.5576
_cell_length_c 2.9918
_cell_angle_alpha 90.00
_cell_angle_beta 90.00
_cell_angle_gamma 90.00
loop_
_space_group_symop_operation_xyz
'x,y,z'
loop_
_atom_site_label
_atom_site_fract_x
_atom_site_fract_y
_atom_site_fract_z
_atom_site_occupancy
Mg1 0.1629 0.6629 0.5000 1
Mg2 0.6629 0.8371 0.5000 1
Mg3 0.8371 0.3371 0.5000 1
Mg4 0.3371 0.1629 0.5000 1
Au1 0.0000 0.0000 0.0000 1
Au2 0.5000 0.5000 0.0000 1
Pt1 0.3650 0.8650 0.0000 1
Pt2 0.8650 0.6350 0.0000 1
Pt3 0.6350 0.1350 0.0000 1
Pt4 0.1350 0.3650 0.0000 1
```

Energy above the lowest structure with this stoichiometry   0 meV per atom
Energy of formation from the pure elements   -0.6177 eV per atom
Density of states at the Fermi level   0.28 states/eV per atom
Final energy   -4.3273 eV/atom
Space group   No. 127

***

La4Pm3DyTe8: optimized geometry, PBE-GGA.

Structure (CIF):
```
data_La4Pm3DyTe8
_chemical_formula_sum 'La4 Pm3 Dy1 Te8'
_space_group_name_H-M_alt 'P 1'
_space_group_IT_number 1
_cell_length_a 9.0341
_cell_length_b 9.0088
_cell_length_c 9.0327
_cell_angle_alpha 120.08
_cell_angle_beta 120.01
_cell_angle_gamma 90.00
loop_
_space_group_symop_operation_xyz
'x,y,z'
loop_
_atom_site_label
_atom_site_fract_x
_atom_site_fract_y
_atom_site_fract_z
_atom_site_occupancy
La1 0.5000 0.0000 0.0000 1
La2 0.5000 0.0000 0.5000 1
La3 0.0000 0.0000 0.0000 1
La4 0.0000 0.0000 0.5000 1
Pm1 0.5000 0.5000 0.0000 1
Pm2 0.5000 0.5000 0.5000 1
Pm3 0.0000 0.5000 0.5000 1
Dy1 0.0000 0.5000 0.0000 1
Te1 0.2441 0.7393 0.9952 1
Te2 0.2441 0.7393 0.4882 1
Te3 0.2524 0.2572 0.5048 1
Te4 0.7511 0.7393 0.9952 1
Te5 0.2489 0.2607 0.0048 1
Te6 0.7476 0.7428 0.4952 1
Te7 0.7559 0.2607 0.5118 1
Te8 0.7559 0.2607 0.0048 1
```

Density of states at the Fermi level   0.79 states/eV per atom
Raw formation energy   -1.49 eV per atom
Final energy   -5.4665 eV/atom
Space group   No. 166

***

ThReC3: optimized geometry, PBE-GGA.

Structure (CIF):
```
data_ThReC3
_chemical_formula_sum 'Th2 Re2 C6'
_space_group_name_H-M_alt 'P 1'
_space_group_IT_number 1
_cell_length_a 3.9036
_cell_length_b 5.6596
_cell_length_c 6.3459
_cell_angle_alpha 90.00
_cell_angle_beta 100.24
_cell_angle_gamma 90.00
loop_
_space_group_symop_operation_xyz
'x,y,z'
loop_
_atom_site_label
_atom_site_fract_x
_atom_site_fract_y
_atom_site_fract_z
_atom_site_occupancy
Th1 0.4201 0.2500 0.7493 1
Th2 0.5799 0.7500 0.2507 1
Re1 0.9413 0.7500 0.7897 1
Re2 0.0587 0.2500 0.2103 1
C1 0.4205 0.7500 0.6624 1
C2 0.1397 0.7500 0.4957 1
C3 0.0000 0.0000 0.0000 1
C4 0.5795 0.2500 0.3376 1
C5 0.8603 0.2500 0.5043 1
C6 0.0000 0.5000 0.0000 1
```

Energy of formation from the pure elements   -0.0061 eV per atom
Density of states at the Fermi level   0.42 states/eV per atom
Final energy   -9.5141 eV/atom
Space group   No. 11

***

Sm4Ho3Ga4: optimized geometry, PBE-GGA.

Structure (CIF):
```
data_Sm4Ho3Ga4
_chemical_formula_sum 'Sm4 Ho3 Ga4'
_space_group_name_H-M_alt 'P 1'
_space_group_IT_number 1
_cell_length_a 3.5443
_cell_length_b 9.0402
_cell_length_c 10.3166
_cell_angle_alpha 115.99
_cell_angle_beta 99.89
_cell_angle_gamma 90.00
loop_
_space_group_symop_operation_xyz
'x,y,z'
loop_
_atom_site_label
_atom_site_fract_x
_atom_site_fract_y
_atom_site_fract_z
_atom_site_occupancy
Sm1 0.3343 0.1558 0.6687 1
Sm2 0.6657 0.4871 0.3313 1
Sm3 0.6657 0.8442 0.3313 1
Sm4 0.3343 0.5129 0.6687 1
Ho1 0.0936 0.0936 0.1871 1
Ho2 0.9064 0.9064 0.8129 1
Ho3 0.0000 0.5000 0.0000 1
Ga1 0.2765 0.7765 0.5530 1
Ga2 0.7235 0.2235 0.4470 1
Ga3 0.5000 0.7771 0.0000 1
Ga4 0.5000 0.2229 0.0000 1
```

Energy of formation from the pure elements   -0.4116 eV per atom
Density of states at the Fermi level   0.80 states/eV per atom
Final energy   -4.4768 eV/atom
Space group   No. 71

***

Tm3Zn9Ni2: optimized geometry, PBE-GGA.

Structure (CIF):
```
data_Tm3Zn9Ni2
_chemical_formula_sum 'Tm3 Zn9 Ni2'
_space_group_name_H-M_alt 'P 1'
_space_group_IT_number 1
_cell_length_a 4.2477
_cell_length_b 7.9338
_cell_length_c 7.9338
_cell_angle_alpha 69.08
_cell_angle_beta 74.47
_cell_angle_gamma 74.47
loop_
_space_group_symop_operation_xyz
'x,y,z'
loop_
_atom_site_label
_atom_site_fract_x
_atom_site_fract_y
_atom_site_fract_z
_atom_site_occupancy
Tm1 0.0000 0.0000 0.0000 1
Tm2 0.6937 0.3063 0.3063 1
Tm3 0.3063 0.6937 0.6937 1
Zn1 0.0000 0.5000 0.5000 1
Zn2 0.6592 0.9817 0.6999 1
Zn3 0.3408 0.0183 0.3001 1
Zn4 0.6592 0.6999 0.9817 1
Zn5 0.3408 0.3001 0.0183 1
Zn6 0.8742 0.8449 0.4067 1
Zn7 0.1258 0.1551 0.5933 1
Zn8 0.8742 0.4067 0.8449 1
Zn9 0.1258 0.5933 0.1551 1
Ni1 0.5000 0.3200 0.6800 1
Ni2 0.5000 0.6800 0.3200 1
```

Energy of formation from the pure elements   -0.3374 eV per atom
Density of states at the Fermi level   0.55 states/eV per atom
Final energy   -2.9404 eV/atom
Space group   No. 71

***

HoMg4Zn: optimized geometry, PBE-GGA.

Structure (CIF):
```
data_HoMg4Zn
_chemical_formula_sum 'Ho2 Mg8 Zn2'
_space_group_name_H-M_alt 'P 1'
_space_group_IT_number 1
_cell_length_a 5.2824
_cell_length_b 7.0766
_cell_length_c 8.7478
_cell_angle_alpha 113.86
_cell_angle_beta 107.53
_cell_angle_gamma 90.00
loop_
_space_group_symop_operation_xyz
'x,y,z'
loop_
_atom_site_label
_atom_site_fract_x
_atom_site_fract_y
_atom_site_fract_z
_atom_site_occupancy
Ho1 0.2039 0.2041 0.4082 1
Ho2 0.7961 0.7959 0.5918 1
Mg1 0.8300 0.3305 0.6610 1
Mg2 0.6191 0.3441 0.2376 1
Mg3 0.0000 0.1874 0.0000 1
Mg4 0.3809 0.1065 0.7624 1
Mg5 0.1700 0.6695 0.3390 1
Mg6 0.3809 0.6559 0.7624 1
Mg7 0.0000 0.8126 0.0000 1
Mg8 0.6191 0.8935 0.2376 1
Zn1 0.7327 0.5002 0.0003 1
Zn2 0.2673 0.4998 0.9997 1
```

Energy of formation from the pure elements   0.0041 eV per atom
Density of states at the Fermi level   0.68 states/eV per atom
Final energy   -2.0343 eV/atom
Space group   No. 71